# Ce4Pb2I3 (PBE, relaxed)
# - Uncorrected formation energy: -782 meV per atom
# - VASP energy: -42.84 eV per cell
data_Ce4Pb2I3
_chemical_formula_sum 'Ce4 Pb2 I3'
_cell_length_a 4.6012
_cell_length_b 4.6012
_cell_length_c 18.4096
_cell_angle_alpha 90.00
_cell_angle_beta 90.00
_cell_angle_gamma 120.00
_space_group_name_H-M_alt 'P -3 m 1'
_space_group_IT_number 164
_space_group_name_Hall '-P 3 2"'
loop_
_atom_site_label
_atom_site_type_symbol
_atom_site_fract_x
_atom_site_fract_y
_atom_site_fract_z
_atom_site_occupancy
Ce1 Ce 0.0000 0.0000 0.2064 1
Ce2 Ce 0.3333 0.6667 0.4001 1
Pb1 Pb 0.3333 0.6667 0.6967 1
I1 I 0.0000 0.0000 0.5000 1
I2 I 0.3333 0.6667 0.1020 1